[1]
A plane-wave DFT calculation with PBE was carried out for crystalline Pr2Dy2Y5 at its relaxed geometry.

Structure (POSCAR):
```
Pr2Dy2Y5
1.0
10.931 -1.755 0.000
10.931 1.755 0.000
-1.502 0.000 8.182
Pr Dy Y
2 2 5
direct
0.181 0.181 0.144 Pr
0.819 0.819 0.856 Pr
0.454 0.454 0.643 Dy
0.546 0.546 0.357 Dy
0.000 0.000 0.000 Y
0.096 0.096 0.734 Y
0.310 0.310 0.469 Y
0.690 0.690 0.531 Y
0.904 0.904 0.266 Y
```

Output
Energy ... -49.0 eV for the cell shown
Theoretical density ... 5.56 g/cm3
Space-group type ... C2/m
Crystal system ... monoclinic



[2]
A plane-wave DFT calculation with PBE was carried out for crystalline LiU2N3 at its relaxed geometry.

Structure (POSCAR):
```
LiU2N3
1.0
-1.791 2.176 5.434
1.791 -2.176 5.434
1.791 2.176 -5.434
Li U N
1 2 3
direct
0.000 0.000 0.000 Li
0.348 0.348 0.000 U
0.652 0.652 0.000 U
0.209 0.709 0.500 N
0.500 0.000 0.500 N
0.791 0.291 0.500 N
```

Output
Energy ... -56.4 eV for the cell shown
Theoretical density ... 10.29 g/cm3
Space-group type ... Immm
Crystal system ... orthorhombic



[3]
A plane-wave DFT calculation with PBE was carried out for crystalline ZnCd2P at its relaxed geometry.

Structure (POSCAR):
```
ZnCd2P
1.0
0.000 3.419 3.419
3.419 0.000 3.419
3.419 3.419 0.000
Zn Cd P
1 2 1
direct
0.000 0.000 0.000 Zn
0.250 0.250 0.250 Cd
0.750 0.750 0.750 Cd
0.500 0.500 0.500 P
```

Output
Energy ... -7.4 eV for the cell shown
Theoretical density ... 6.67 g/cm3
Space-group type ... Fm-3m
Crystal system ... cubic



[4]
A plane-wave DFT calculation with PBE was carried out for crystalline BaSc2Cu at its relaxed geometry.

Structure (POSCAR):
```
BaSc2Cu
1.0
3.692 0.000 0.000
0.000 5.272 0.000
0.000 0.000 5.461
Ba Sc Cu
1 2 1
direct
0.000 0.000 0.000 Ba
0.000 0.500 0.500 Sc
0.500 0.000 0.500 Sc
0.500 0.500 0.000 Cu
```

Output
Energy ... -17.1 eV for the cell shown
Theoretical density ... 4.54 g/cm3
Space-group type ... Pmmm
Crystal system ... orthorhombic



[5]
A plane-wave DFT calculation with PBE was carried out for crystalline NdDyCo at its relaxed geometry.

Structure (POSCAR):
```
NdDyCo
1.0
5.789 -1.893 0.000
5.789 1.893 0.000
-5.079 0.000 6.834
Nd Dy Co
2 2 2
direct
0.183 0.183 0.102 Nd
0.817 0.817 0.898 Nd
0.421 0.421 0.627 Dy
0.579 0.579 0.373 Dy
0.122 0.122 0.642 Co
0.878 0.878 0.358 Co
```

Output
Energy ... -33.5 eV for the cell shown
Theoretical density ... 8.11 g/cm3
Space-group type ... C2/m
Crystal system ... monoclinic